--- w ---
{"formula": "ScTl2Tc", "functional": "PBE-GGA", "state": "relaxed", "lattice_angstrom": [[4.947, 0.000, 0.000], [2.474, 4.284, 0.000], [2.474, 1.428, 4.039]], "species": ["Sc", "Tc", "Tl", "Tl"], "frac_coords": [[0.500, 0.500, 0.500], [0.750, 0.750, 0.750], [0.000, 0.000, 0.000], [0.250, 0.250, 0.250]]}

--- x ---
{"formula": "ScTl2Tc", "functional": "PBE-GGA", "state": "relaxed", "lattice_angstrom": [[4.677, 0.000, 0.000], [0.000, 3.154, 0.017], [0.000, 1.639, 5.734]], "species": ["Sc", "Tc", "Tl", "Tl"], "frac_coords": [[0.500, 0.250, 0.250], [0.500, 0.750, 0.750], [0.000, 0.916, 0.988], [0.000, 0.584, 0.512]]}

Stability summary: most stable x, least stable w.

--- w ---
{"formula": "ScTl2Tc", "functional": "PBE-GGA", "state": "relaxed", "lattice_angstrom": [[-1.149, 2.668, -1.785], [0.418, -1.755, -2.893], [-7.146, -2.681, 0.593]], "species": ["Sc", "Tc", "Tl", "Tl"], "frac_coords": [[0.000, 0.000, 0.552], [0.500, 0.500, 0.729], [0.000, 0.000, 0.948], [0.500, 0.500, 0.271]]}

--- x ---
{"formula": "ScTl2Tc", "functional": "PBE-GGA", "state": "relaxed", "lattice_angstrom": [[5.558, -0.006, 0.003], [2.226, 5.093, -0.003], [-3.449, -3.221, 2.936]], "species": ["Sc", "Tc", "Tl", "Tl"], "frac_coords": [[0.750, 0.250, 0.500], [0.250, 0.750, 0.500], [0.011, 0.011, 0.000], [0.489, 0.489, 0.000]]}

Stability summary: most stable w, least stable x.

--- w ---
{"formula": "ScTl2Tc", "functional": "PBE-GGA", "state": "relaxed", "lattice_angstrom": [[-1.731, 0.210, -3.915], [2.290, -3.419, -1.196], [-3.318, -2.685, 1.323]], "species": ["Sc", "Tc", "Tl", "Tl"], "frac_coords": [[0.500, 0.000, 0.500], [0.000, 0.500, 0.500], [0.000, 0.000, 0.000], [0.500, 0.500, 0.000]]}

--- x ---
{"formula": "ScTl2Tc", "functional": "PBE-GGA", "state": "relaxed", "lattice_angstrom": [[5.257, 0.013, 0.000], [1.607, 5.005, 0.000], [-3.432, -2.509, 3.092]], "species": ["Sc", "Tc", "Tl", "Tl"], "frac_coords": [[0.250, 0.750, 0.500], [0.750, 0.250, 0.500], [0.000, 0.000, 0.000], [0.500, 0.500, 0.000]]}

Stability summary: most stable x, least stable w.